Record 1
Compound: Hf2TeSe
Source: the Alexandria database
Functional: GGA-PBE
Structure: optimized geometry

Its uncorrected formation energy is -0.687 eV/atom. The spin magnetization is 0.00 μB/f.u. For the density of states at the Fermi level, the calculation gives 5.90 states/eV/cell. The final energy comes out at -7.320 eV/atom.

The structure belongs to space group R3m (No. 160, hexagonal axes); the cell edges are 3.5819, 3.5819 and 23.3757 Å and the angles 90.00°, 90.00° and 120.00°. The inequivalent atoms are Hf at (0.0000, 0.0000, 0.0000), Hf at (0.0000, 0.0000, 0.1732), Te at (0.0000, 0.0000, 0.4204) and Se at (0.0000, 0.0000, 0.5853).


Record 2
Compound: Hf2TeSe2
Source: the Alexandria database
Functional: GGA-PBE
Structure: optimized geometry

Its uncorrected formation energy is -0.848 eV/atom. The spin magnetization is 0.00 μB/f.u. For the density of states at the Fermi level, the calculation gives 7.07 states/eV/cell. The final energy comes out at -6.851 eV/atom.

The structure belongs to space group P4/mbm (No. 127); the cell edges are 7.7254, 7.7254 and 3.5737 Å and the angles 90.00°, 90.00° and 90.00°. The inequivalent atoms are Hf at (0.1419, 0.3581, 0.0000), Te at (0.0000, 0.0000, 0.0000) and Se at (0.1389, 0.6389, 0.5000).


Record 3
Compound: HfTe3Se8
Source: the Alexandria database
Functional: GGA-PBE
Structure: optimized geometry

Its uncorrected formation energy is -0.237 eV/atom. The spin magnetization is 0.00 μB/f.u. The final energy comes out at -4.175 eV/atom.

The structure belongs to space group P-1 (No. 2); the cell edges are 7.2295, 7.8762 and 14.4382 Å and the angles 104.71°, 99.88° and 95.64°. The inequivalent atoms are Hf at (0.0967, 0.2288, 0.0038), Te at (0.0024, 0.8227, 0.5789), Te at (0.0842, 0.6531, 0.2321), Te at (0.4926, 0.9564, 0.7987), Se at (0.1430, 0.2148, 0.5973), Se at (0.1675, 0.9124, 0.9281), Se at (0.2142, 0.6134, 0.0717), Se at (0.2402, 0.2993, 0.8496), Se at (0.2398, 0.4625, 0.4119), Se at (0.3188, 0.6699, 0.5662), Se at (0.3334, 0.9584, 0.3262) and Se at (0.3724, 0.3159, 0.1599).


Record 4
Compound: Hf4TeSe
Source: the Alexandria database
Functional: GGA-PBE
Structure: optimized geometry

Its uncorrected formation energy is -0.163 eV/atom. The spin magnetization is 0.00 μB/f.u. For the density of states at the Fermi level, the calculation gives 6.74 states/eV/cell. The final energy comes out at -7.903 eV/atom.

The structure belongs to space group P2_1/c (No. 14); the cell edges are 7.5397, 5.7372 and 7.0351 Å and the angles 90.00°, 109.34° and 90.00°. The inequivalent atoms are Hf at (0.1694, 0.2196, 0.3286), Hf at (0.2594, 0.6876, 0.1216), Te at (0.5000, 0.0000, 0.0000) and Se at (0.0000, 0.0000, 0.0000).


Record 5
Compound: Hf2Te2Se
Source: the Alexandria database
Functional: GGA-PBE
Structure: optimized geometry

Its uncorrected formation energy is -0.656 eV/atom. The spin magnetization is 0.00 μB/f.u. For the density of states at the Fermi level, the calculation gives 4.94 states/eV/cell. The final energy comes out at -6.591 eV/atom.

The structure belongs to space group P4/mbm (No. 127); the cell edges are 7.7741, 7.7741 and 3.8615 Å and the angles 90.00°, 90.00° and 90.00°. The inequivalent atoms are Hf at (0.1427, 0.3573, 0.0000), Te at (0.1476, 0.6476, 0.5000) and Se at (0.0000, 0.0000, 0.0000).


Record 6
Compound: HfTe2Se
Source: the Alexandria database
Functional: GGA-PBE
Structure: optimized geometry

Its uncorrected formation energy is 0.444 eV/atom. The spin magnetization is 0.00 μB/f.u. For the density of states at the Fermi level, the calculation gives 12.30 states/eV/cell. The final energy comes out at -4.486 eV/atom.

The structure belongs to space group R-3m (No. 166, hexagonal axes); the cell edges are 3.5679, 3.5679 and 29.6279 Å and the angles 90.00°, 90.00° and 120.00°. The inequivalent atoms are Hf at (0.0000, 0.0000, 0.0000), Te at (0.0000, 0.0000, 0.0944) and Se at (0.0000, 0.0000, 0.5000).